DFT (PBE) results for a relaxed structure of CsPuTa.

Structure (POSCAR):
```
CsPuTa
1.0
0.000 3.425 3.425
3.425 0.000 3.425
3.425 3.425 0.000
Cs Pu Ta
1 1 1
Cartesian
0.000 0.000 0.000
5.137 5.137 5.137
1.712 1.712 1.712
```

Summary:
The space group is F-43m (216). The uncorrected energy comes out at -17.889 eV per formula unit.